Arrangement A

Here is LiTl3Hg3 after structural relaxation from the Alexandria database. Energies are from GGA-PBE.

Cell: 7.6679 9.7647 10.1361 Å, 90.00 95.27 90.00°
With the nearest neighbours (Å) after each atom.
Space group C2/m (No. 12)
Unique sites:
Li 0.2092 0.0000 0.0609  4 Hg 2.70-2.81
Tl 0.0000 0.1705 0.5000  6 Hg 3.23-3.50, 1 Tl 3.33
Tl 0.0000 0.3035 0.0000  4 Li 3.05-3.40, 2 Hg 3.24
Tl 0.0637 0.5000 0.3473  5 Hg 3.20-3.38, 1 Tl 3.33
Hg 0.0857 0.0000 0.8027  2 Li 2.70-2.76
Hg 0.2456 0.2019 0.2592  1 Li 2.81

The value obtained for the total moment is 0.0 μB per formula unit.

***

Arrangement B

Here is LiTl3Hg3 after structural relaxation from the Alexandria database. Energies are from GGA-PBE.

Cell: 8.4500 8.4500 8.4500 Å, 90.00 90.00 90.00°
With the nearest neighbours (Å) after each atom.
Space group Pm-3n (No. 223)
Unique sites:
Li 0.0000 0.0000 0.0000  12 Hg 4.72, 12 Tl 4.72
Tl 0.0000 0.2500 0.5000  4 Hg 2.99
Hg 0.0000 0.5000 0.2500  4 Tl 2.99

The value obtained for the total moment is 0.0 μB per formula unit.

***

Ordering by calculated energy gives the sequence arrangement A, arrangement B, with the first entry being the most stable.

***

Arrangement A

Here is Li8TlHg2 after structural relaxation from the Alexandria database. Energies are from GGA-PBE.

Cell: 4.4947 7.2896 12.6281 Å, 90.00 90.00 90.00°
With the nearest neighbours (Å) after each atom.
Space group Immm (No. 71)
Unique sites:
Li 0.0000 0.0000 0.1486  8 Li 2.89-3.09, 2 Tl 2.93, 2 Hg 2.95
Li 0.0000 0.2095 0.3494  3 Hg 2.79-2.83, 1 Tl 2.85, 6 Li 2.95-3.09
Li 0.0000 0.3011 0.0000  7 Li 2.89-2.95, 2 Hg 2.92, 2 Tl 3.14
Tl 0.0000 0.5000 0.5000  12 Li 2.85-3.14
Hg 0.0000 0.5000 0.2006  10 Li 2.79-2.95

The value obtained for the total moment is 0.0 μB per formula unit.

***

Arrangement B

Here is Li8TlHg2 after structural relaxation from the Alexandria database. Energies are from GGA-PBE.

Cell: 7.7001 12.9590 4.7373 Å, 90.00 114.09 90.00°
With the nearest neighbours (Å) after each atom.
Space group C2/m (No. 12)
Unique sites:
Li 0.0000 0.2175 0.0000  2 Hg 2.68, 1 Tl 2.82
Li 0.1065 0.5000 0.8113  4 Li 2.73-2.88, 2 Hg 2.77, 1 Tl 2.79
Li 0.2015 0.1159 0.6275  2 Hg 2.76-2.94, 5 Li 2.83-3.08
Tl 0.0000 0.0000 0.0000  8 Li 2.79-3.12
Hg 0.0000 0.3144 0.5000  8 Li 2.68-2.94

The value obtained for the total moment is 0.0 μB per formula unit.

***

Ordering by calculated energy gives the sequence arrangement A, arrangement B, with the first entry being the most stable.

***

Arrangement A

Here is Li12TlHg6 after structural relaxation from the Alexandria database. Energies are from GGA-PBE.

Cell: 12.3235 12.3235 8.3878 Å, 90.00 90.00 120.00°
With the nearest neighbours (Å) after each atom.
Space group R-3 (No. 148, hexagonal axes)
Unique sites:
Li 0.0497 0.2476 0.0769  5 Li 2.78-3.08, 5 Hg 2.79-3.08, 1 Tl 2.87
Li 0.0544 0.2239 0.4109  4 Hg 2.74-2.98, 6 Li 2.78-3.04
Tl 0.0000 0.0000 0.0000  6 Li 2.87
Hg 0.0460 0.2248 0.7422  8 Li 2.74-3.07

The value obtained for the total moment is 0.0 μB per formula unit.

***

Arrangement B

Here is Li12TlHg6 after structural relaxation from the Alexandria database. Energies are from GGA-PBE.

Cell: 10.2622 10.2622 12.2165 Å, 90.00 90.00 120.00°
With the nearest neighbours (Å) after each atom.
Space group R-3 (No. 148, hexagonal axes)
Unique sites:
Li 0.0289 0.1895 0.3154  4 Hg 2.84-3.08, 1 Tl 2.90, 5 Li 2.91-3.17
Li 0.0573 0.8419 0.9139  4 Hg 2.70-2.83, 3 Li 2.89-2.91
Tl 0.0000 0.0000 0.5000  6 Li 2.90, 6 Hg 3.14
Hg 0.0028 0.5838 0.7946  6 Li 2.70-3.02

The value obtained for the total moment is 0.0 μB per formula unit.

***

Ordering by calculated energy gives the sequence arrangement B, arrangement A, with the first entry being the most stable.

***

Arrangement A

Here is LiTmHg after structural relaxation from the Alexandria database. Energies are from GGA-PBE.

Cell: 4.6796 4.6796 3.5194 Å, 90.00 90.00 120.00°
With the nearest neighbours (Å) after each atom.
Space group P-6m2 (No. 187)
Unique sites:
Li 0.0000 0.0000 0.0000  3 Hg 2.70
Tm 0.3333 0.6667 0.5000  6 Li 3.22, 6 Hg 3.22, 2 Tm 3.52
Hg 0.6667 0.3333 0.0000  3 Li 2.70

The value obtained for the total moment is 0.0 μB per formula unit.

***

Arrangement B

Here is LiTmHg after structural relaxation from the Alexandria database. Energies are from GGA-PBE.

Cell: 3.5686 3.5709 10.6170 Å, 90.00 90.18 90.00°
With the nearest neighbours (Å) after each atom.
Space group P2_1/m (No. 11)
Unique sites:
Li 0.2487 0.2500 0.0716  5 Hg 2.91-2.97, 4 Li 2.94-2.95
Tm 0.2486 0.2500 0.3865  4 Hg 3.15-3.16, 1 Li 3.34, 4 Tm 3.49
Hg 0.2520 0.2500 0.7920  5 Li 2.91-2.97, 4 Tm 3.15-3.16

The value obtained for the total moment is 0.4 μB per formula unit.

***

Arrangement C

Here is LiTmHg after structural relaxation from the Alexandria database. Energies are from GGA-PBE.

Cell: 4.3119 3.3545 5.2346 Å, 90.00 90.23 90.00°
With the nearest neighbours (Å) after each atom.
Space group P2/m (No. 10)
Unique sites:
Li 0.0000 0.0000 0.0000  4 Hg 2.73
Tm 0.5000 0.0000 0.5000  4 Hg 3.11, 2 Tm 3.35, 4 Li 3.38-3.40
Hg 0.5000 0.5000 0.0000  4 Li 2.73

The value obtained for the total moment is 0.0 μB per formula unit.

***

Ordering by calculated energy gives the sequence arrangement B, arrangement A, arrangement C, with the first entry being the most stable.

***

Arrangement A

Here is LiTmHg2 after structural relaxation from the Alexandria database. Energies are from GGA-PBE.

Cell: 5.1394 5.1394 3.4410 Å, 90.00 90.00 90.00°
With the nearest neighbours (Å) after each atom.
Space group P4/mmm (No. 123)
Unique sites:
Li 0.0000 0.0000 0.0000  8 Hg 3.09, 2 Li 3.44
Tm 0.5000 0.5000 0.0000  8 Hg 3.09, 2 Tm 3.44
Hg 0.0000 0.5000 0.5000  4 Li 3.09, 4 Tm 3.09, 2 Hg 3.44

The value obtained for the total moment is 0.0 μB per formula unit.

***

Arrangement B

Here is LiTmHg2 after structural relaxation from the Alexandria database. Energies are from GGA-PBE.

Cell: 3.7800 3.7800 23.0654 Å, 90.00 90.00 120.00°
With the nearest neighbours (Å) after each atom.
Space group R3m (No. 160, hexagonal axes)
Unique sites:
Li 0.0000 0.0000 0.0000  6 Hg 2.73-2.77
Tm 0.0000 0.0000 0.1686  6 Hg 3.07-3.08
Hg 0.0000 0.0000 0.5954  3 Li 2.73
Hg 0.0000 0.0000 0.7408  3 Li 2.77, 3 Tm 3.08

The value obtained for the total moment is 0.0 μB per formula unit.

***

Ordering by calculated energy gives the sequence arrangement A, arrangement B, with the first entry being the most stable.

***

Arrangement A

Here is LiTmHg4 after structural relaxation from the Alexandria database. Energies are from GGA-PBE.

Cell: 6.6188 6.6142 7.0061 Å, 90.00 90.17 90.00°
With the nearest neighbours (Å) after each atom.
Space group C2/m (No. 12)
Unique sites:
Li 0.0000 0.0000 0.0000  8 Hg 2.80
Tm 0.0000 0.5000 0.5000  8 Hg 3.05
Hg 0.2505 0.2493 0.7802  2 Li 2.80, 2 Tm 3.05, 1 Hg 3.08

The value obtained for the total moment is 0.0 μB per formula unit.

***

Arrangement B

Here is LiTmHg4 after structural relaxation from the Alexandria database. Energies are from GGA-PBE.

Cell: 10.2491 3.7963 7.4836 Å, 90.00 111.40 90.00°
With the nearest neighbours (Å) after each atom.
Space group C2/m (No. 12)
Unique sites:
Li 0.0000 0.0000 0.0000  10 Hg 3.03-3.23
Tm 0.0000 0.0000 0.5000  10 Hg 3.14-3.20
Hg 0.1620 0.5000 0.8427  3 Li 3.03-3.23, 5 Hg 3.05-3.14, 2 Tm 3.14
Hg 0.1645 0.5000 0.3202  2 Li 3.04, 5 Hg 3.12-3.24, 3 Tm 3.15-3.20

The value obtained for the total moment is 0.0 μB per formula unit.

***

Ordering by calculated energy gives the sequence arrangement B, arrangement A, with the first entry being the most stable.

***

Arrangement A

Here is Li3Tm2Hg4 after structural relaxation from the Alexandria database. Energies are from GGA-PBE.

Cell: 8.6724 4.8284 9.3233 Å, 90.00 94.94 90.00°
With the nearest neighbours (Å) after each atom.
Space group C2/m (No. 12)
Unique sites:
Li 0.0000 0.0000 0.0000  8 Hg 2.97-3.23
Li 0.1497 0.5000 0.5752  1 Li 2.84, 4 Hg 2.85-3.00
Tm 0.1819 0.5000 0.2231  7 Hg 3.03-3.10, 3 Li 3.32
Hg 0.0249 0.0000 0.3479  3 Li 2.85-2.97, 1 Hg 2.91, 3 Tm 3.05-3.10
Hg 0.1556 0.5000 0.8969  4 Li 2.97-3.06, 4 Tm 3.03-3.06

The value obtained for the total moment is 0.0 μB per formula unit.

***

Arrangement B

Here is Li3Tm2Hg4 after structural relaxation from the Alexandria database. Energies are from GGA-PBE.

Cell: 5.9672 15.5320 8.2021 Å, 90.00 90.00 90.00°
With the nearest neighbours (Å) after each atom.
Space group Cmce (No. 64)
Unique sites:
Li 0.0000 0.0000 0.0000  6 Hg 2.64-2.86
Li 0.2500 0.2180 0.2500  5 Hg 2.67-2.86, 2 Li 2.98
Tm 0.0000 0.1145 0.5834  8 Hg 3.19-3.31, 6 Li 3.30-3.54
Hg 0.0000 0.1826 0.9595  5 Li 2.75-2.86
Hg 0.2500 0.0462 0.2500  3 Li 2.64-2.67

The value obtained for the total moment is 0.0 μB per formula unit.

***

Ordering by calculated energy gives the sequence arrangement A, arrangement B, with the first entry being the most stable.

***

Arrangement A

Here is LiVHg3 after structural relaxation from the Alexandria database. Energies are from GGA-PBE.

Cell: 5.3180 5.3180 5.3180 Å, 90.00 90.00 90.00°
With the nearest neighbours (Å) after each atom.
Space group Pm-3m (No. 221)
Unique sites:
Li 0.0000 0.0000 0.0000  12 Hg 3.76
V 0.5000 0.5000 0.5000  6 Hg 2.66
Hg 0.0000 0.5000 0.5000  2 V 2.66

The value obtained for the total moment is 3.4 μB per formula unit.

***

Arrangement B

Here is LiVHg3 after structural relaxation from the Alexandria database. Energies are from GGA-PBE.

Cell: 4.7800 4.7800 4.7800 Å, 90.00 90.00 90.00°
With the nearest neighbours (Å) after each atom.
Space group Pm-3m (No. 221)
Unique sites:
Li 0.0000 0.0000 0.0000  6 Hg 2.39
V 0.5000 0.5000 0.5000  12 Hg 3.38
Hg 0.0000 0.0000 0.5000  2 Li 2.39

The value obtained for the total moment is 3.4 μB per formula unit.

***

Ordering by calculated energy gives the sequence arrangement A, arrangement B, with the first entry being the most stable.

***

Arrangement A

Here is LiHg2W after structural relaxation from the Alexandria database. Energies are from GGA-PBE.

Cell: 4.2218 4.2218 18.5990 Å, 90.00 90.00 90.00°
With the nearest neighbours (Å) after each atom.
Space group I-42d (No. 122)
Unique sites:
Li 0.0000 0.0000 0.0000  4 Hg 2.75, 4 W 2.99
Hg 0.2433 0.2500 0.1250  2 Li 2.75, 2 W 2.77, 4 Hg 2.95-3.03
W 0.0000 0.0000 0.5000  4 Hg 2.77, 4 Li 2.99

The value obtained for the total moment is 1.0 μB per formula unit.

***

Arrangement B

Here is LiHg2W after structural relaxation from the Alexandria database. Energies are from GGA-PBE.

Cell: 5.0007 5.0007 2.9173 Å, 90.00 90.00 90.00°
With the nearest neighbours (Å) after each atom.
Space group P4/mmm (No. 123)
Unique sites:
Li 0.0000 0.0000 0.0000  8 Hg 2.89, 2 Li 2.92
Hg 0.0000 0.5000 0.5000  4 W 2.89, 4 Li 2.89, 2 Hg 2.92
W 0.5000 0.5000 0.0000  8 Hg 2.89, 2 W 2.92

The value obtained for the total moment is 0.5 μB per formula unit.

***

Arrangement C

Here is LiHg2W after structural relaxation from the Alexandria database. Energies are from GGA-PBE.

Cell: 3.6259 4.3218 9.6249 Å, 90.00 90.00 90.00°
With the nearest neighbours (Å) after each atom.
Space group Cmm2 (No. 35)
Unique sites:
Li 0.0000 0.0000 0.0000  4 Li 2.82, 4 Hg 2.85-3.08, 4 W 2.85-3.09
Hg 0.0000 0.0000 0.4726  4 Hg 2.82, 2 W 2.97
Hg 0.0000 0.5000 0.7715  4 Hg 2.82, 4 Li 2.85-3.08
W 0.0000 0.5000 0.2288  4 W 2.82, 4 Li 2.85-3.09, 2 Hg 2.97

The value obtained for the total moment is 0.0 μB per formula unit.

***

Arrangement D

Here is LiHg2W after structural relaxation from the Alexandria database. Energies are from GGA-PBE.

Cell: 2.8532 2.8602 8.7589 Å, 90.00 90.12 90.00°
With the nearest neighbours (Å) after each atom.
Space group P2/m (No. 10)
Unique sites:
Li 0.0000 0.0000 0.0000  4 Li 2.85-2.86, 8 Hg 2.90-2.91
Hg 0.5000 0.5000 0.2381  4 Hg 2.85-2.86, 4 Li 2.90-2.91, 4 W 3.05-3.06
W 0.0000 0.0000 0.5000  4 W 2.85-2.86, 8 Hg 3.05-3.06

The value obtained for the total moment is 0.0 μB per formula unit.

***

Ordering by calculated energy gives the sequence arrangement B, arrangement D, arrangement C, arrangement A, with the first entry being the most stable.